Computed, not measured: a relaxed TlCdSeF crystal at the GGA-PBE level of DFT.

The value obtained for the energy above the lowest structure with this stoichiometry is 0.018 eV/atom. As for the space group: P4/nmm, No. 129. Its volume is 24.54 A^3/atom.

abc: 4.4568 4.4568 9.8848
angles: 90.00 90.00 90.00
Positions (direct):
Cd (0.7500, 0.2500, 0.5000)
Cd (0.2500, 0.7500, 0.5000)
F (0.7500, 0.2500, 0.0000)
F (0.2500, 0.7500, 0.0000)
Se (0.2500, 0.2500, 0.3403)
Se (0.7500, 0.7500, 0.6597)
Tl (0.7500, 0.7500, 0.1305)
Tl (0.2500, 0.2500, 0.8695)